1.
A geometry-optimized Ca3TlNi structure, computed with PBE.

For the magnetization, the calculation gives 0.000 μB/atom. Its energy of formation is -0.2561 eV per atom. The calculation puts the energy at -3.09 eV per atom. Its space group is P2_1/m, No. 11.

```
data_Ca3TlNi
_chemical_formula_sum 'Ca6 Tl2 Ni2'
_cell_length_a 8.4822
_cell_length_b 4.2004
_cell_length_c 8.7764
_cell_angle_alpha 90.00
_cell_angle_beta 112.62
_cell_angle_gamma 90.00
_space_group_name_H-M_alt 'P 1'
_space_group_IT_number 1
_space_group_name_Hall 'P 1'
loop_
_atom_site_label
_atom_site_fract_x
_atom_site_fract_y
_atom_site_fract_z
_atom_site_occupancy
Ca1 0.0613 0.2500 0.2292 1
Ca2 0.3106 0.2500 0.9039 1
Ca3 0.3336 0.7500 0.5722 1
Ca4 0.6664 0.2500 0.4278 1
Ca5 0.6894 0.7500 0.0961 1
Ca6 0.9387 0.7500 0.7708 1
Tl1 0.3440 0.7500 0.1937 1
Tl2 0.6560 0.2500 0.8063 1
Ni1 0.0433 0.2500 0.5554 1
Ni2 0.9567 0.7500 0.4446 1
```

2.
A geometry-optimized Zr5Be structure, computed with PBE.

For the magnetization, the calculation gives 0.000 μB/atom. Its energy of formation is 0.5489 eV per atom. The calculation puts the energy at -7.20 eV per atom. Its space group is F-43m, No. 216.

```
data_Zr5Be
_chemical_formula_sum 'Zr5 Be1'
_cell_length_a 5.7592
_cell_length_b 5.7592
_cell_length_c 5.7592
_cell_angle_alpha 60.00
_cell_angle_beta 60.00
_cell_angle_gamma 60.00
_space_group_name_H-M_alt 'P 1'
_space_group_IT_number 1
_space_group_name_Hall 'P 1'
loop_
_atom_site_label
_atom_site_fract_x
_atom_site_fract_y
_atom_site_fract_z
_atom_site_occupancy
Zr1 0.0000 0.0000 0.0000 1
Zr2 0.1194 0.6269 0.6269 1
Zr3 0.6269 0.1194 0.6269 1
Zr4 0.6269 0.6269 0.1194 1
Zr5 0.6269 0.6269 0.6269 1
Be1 0.2500 0.2500 0.2500 1
```

3.
A geometry-optimized Ba7Sr6Ca16 structure, computed with PBE.

For the magnetization, the calculation gives 0.000 μB/atom. Its energy of formation is 0.1176 eV per atom. The calculation puts the energy at -1.80 eV per atom. Its space group is Fm-3m, No. 225.

```
data_Ba7Sr6Ca16
_chemical_formula_sum 'Ba7 Sr6 Ca16'
_cell_length_a 12.8854
_cell_length_b 12.8854
_cell_length_c 12.8854
_cell_angle_alpha 60.00
_cell_angle_beta 60.00
_cell_angle_gamma 60.00
_space_group_name_H-M_alt 'P 1'
_space_group_IT_number 1
_space_group_name_Hall 'P 1'
loop_
_atom_site_label
_atom_site_fract_x
_atom_site_fract_y
_atom_site_fract_z
_atom_site_occupancy
Ba1 0.0000 0.0000 0.0000 1
Ba2 0.0000 0.0000 0.5000 1
Ba3 0.0000 0.5000 0.0000 1
Ba4 0.0000 0.5000 0.5000 1
Ba5 0.5000 0.0000 0.0000 1
Ba6 0.5000 0.0000 0.5000 1
Ba7 0.5000 0.5000 0.0000 1
Sr1 0.2884 0.2884 0.7116 1
Sr2 0.2884 0.7116 0.2884 1
Sr3 0.2884 0.7116 0.7116 1
Sr4 0.7116 0.2884 0.2884 1
Sr5 0.7116 0.2884 0.7116 1
Sr6 0.7116 0.7116 0.2884 1
Ca1 0.0190 0.3270 0.3270 1
Ca2 0.1206 0.1206 0.1206 1
Ca3 0.1206 0.1206 0.6383 1
Ca4 0.1206 0.6383 0.1206 1
Ca5 0.3270 0.0190 0.3270 1
Ca6 0.3270 0.3270 0.0190 1
Ca7 0.3270 0.3270 0.3270 1
Ca8 0.3617 0.8794 0.8794 1
Ca9 0.6383 0.1206 0.1206 1
Ca10 0.6730 0.6730 0.6730 1
Ca11 0.6730 0.6730 0.9810 1
Ca12 0.6730 0.9810 0.6730 1
Ca13 0.8794 0.3617 0.8794 1
Ca14 0.8794 0.8794 0.3617 1
Ca15 0.8794 0.8794 0.8794 1
Ca16 0.9810 0.6730 0.6730 1
```

4.
A geometry-optimized Ca2GaCoH structure, computed with PBE.

For the magnetization, the calculation gives 0.048 μB/atom. The calculation puts the energy at -3.65 eV per atom. Its space group is P4/mmm, No. 123.

```
data_Ca2GaCoH
_chemical_formula_sum 'Ca2 Ga1 Co1 H1'
_cell_length_a 4.9669
_cell_length_b 4.9669
_cell_length_c 3.5625
_cell_angle_alpha 90.00
_cell_angle_beta 90.00
_cell_angle_gamma 90.00
_space_group_name_H-M_alt 'P 1'
_space_group_IT_number 1
_space_group_name_Hall 'P 1'
loop_
_atom_site_label
_atom_site_fract_x
_atom_site_fract_y
_atom_site_fract_z
_atom_site_occupancy
Ca1 0.0000 0.5000 0.0000 1
Ca2 0.5000 0.0000 0.0000 1
Ga1 0.0000 0.0000 0.5000 1
Co1 0.5000 0.5000 0.5000 1
H1 0.5000 0.5000 0.0000 1
```

5.
A geometry-optimized PrMgIn2 structure, computed with PBE.

For the magnetization, the calculation gives 0.000 μB/atom. Its energy of formation is -0.3165 eV per atom. The calculation puts the energy at -3.28 eV per atom. Its space group is P4/mmm, No. 123.

```
data_PrMgIn2
_chemical_formula_sum 'Pr1 Mg1 In2'
_cell_length_a 3.6588
_cell_length_b 3.6588
_cell_length_c 7.8030
_cell_angle_alpha 90.00
_cell_angle_beta 90.00
_cell_angle_gamma 90.00
_space_group_name_H-M_alt 'P 1'
_space_group_IT_number 1
_space_group_name_Hall 'P 1'
loop_
_atom_site_label
_atom_site_fract_x
_atom_site_fract_y
_atom_site_fract_z
_atom_site_occupancy
Pr1 0.0000 0.0000 0.0000 1
Mg1 0.0000 0.0000 0.5000 1
In1 0.5000 0.5000 0.2816 1
In2 0.5000 0.5000 0.7184 1
```

6.
A geometry-optimized TlTe2Au structure, computed with PBE.

For the magnetization, the calculation gives 0.000 μB/atom. The calculation puts the energy at -3.02 eV per atom. Its space group is Pm, No. 6. Its uncorrected formation energy is -0.142 eV per formula unit.

```
data_TlTe2Au
_chemical_formula_sum 'Tl1 Te2 Au1'
_cell_length_a 3.2988
_cell_length_b 5.8550
_cell_length_c 5.8535
_cell_angle_alpha 90.00
_cell_angle_beta 90.09
_cell_angle_gamma 90.00
_space_group_name_H-M_alt 'P 1'
_space_group_IT_number 1
_space_group_name_Hall 'P 1'
loop_
_atom_site_label
_atom_site_fract_x
_atom_site_fract_y
_atom_site_fract_z
_atom_site_occupancy
Tl1 0.0000 0.0000 0.0000 1
Te1 0.5013 0.0000 0.4999 1
Te2 0.5011 0.5000 0.0000 1
Au1 0.5016 0.5000 0.5000 1
```

7.
A geometry-optimized ZrSi2Ag structure, computed with PBE.

For the magnetization, the calculation gives 0.000 μB/atom. The calculation puts the energy at -5.61 eV per atom. Its space group is Pmmm, No. 47. Its uncorrected formation energy is -0.191 eV per formula unit.

```
data_ZrSi2Ag
_chemical_formula_sum 'Zr1 Si2 Ag1'
_cell_length_a 2.9978
_cell_length_b 3.8420
_cell_length_c 6.0221
_cell_angle_alpha 90.00
_cell_angle_beta 90.00
_cell_angle_gamma 90.00
_space_group_name_H-M_alt 'P 1'
_space_group_IT_number 1
_space_group_name_Hall 'P 1'
loop_
_atom_site_label
_atom_site_fract_x
_atom_site_fract_y
_atom_site_fract_z
_atom_site_occupancy
Zr1 0.0000 0.0000 0.0000 1
Si1 0.5000 0.5000 0.2591 1
Si2 0.5000 0.5000 0.7409 1
Ag1 0.0000 0.0000 0.5000 1
```

8.
A geometry-optimized YZnSi2 structure, computed with PBE.

For the magnetization, the calculation gives 0.000 μB/atom. The calculation puts the energy at -4.82 eV per atom. Its space group is R3m, No. 160. Its uncorrected formation energy is -0.702 eV per formula unit.

```
data_YZnSi2
_chemical_formula_sum 'Y1 Zn1 Si2'
_cell_length_a 5.4696
_cell_length_b 5.4696
_cell_length_c 5.4696
_cell_angle_alpha 45.30
_cell_angle_beta 45.30
_cell_angle_gamma 45.30
_space_group_name_H-M_alt 'P 1'
_space_group_IT_number 1
_space_group_name_Hall 'P 1'
loop_
_atom_site_label
_atom_site_fract_x
_atom_site_fract_y
_atom_site_fract_z
_atom_site_occupancy
Y1 0.0000 0.0000 0.0000 1
Zn1 0.7820 0.7820 0.7820 1
Si1 0.2124 0.2124 0.2124 1
Si2 0.5025 0.5025 0.5025 1
```

9.
A geometry-optimized UVGa structure, computed with PBE.

For the magnetization, the calculation gives 0.248 μB/atom. Its energy of formation is 0.0219 eV per atom. The calculation puts the energy at -7.79 eV per atom. Its space group is C2/m, No. 12.

```
data_UVGa
_chemical_formula_sum 'U2 V2 Ga2'
_cell_length_a 5.5131
_cell_length_b 5.5131
_cell_length_c 4.6890
_cell_angle_alpha 90.45
_cell_angle_beta 90.45
_cell_angle_gamma 49.09
_space_group_name_H-M_alt 'P 1'
_space_group_IT_number 1
_space_group_name_Hall 'P 1'
loop_
_atom_site_label
_atom_site_fract_x
_atom_site_fract_y
_atom_site_fract_z
_atom_site_occupancy
U1 0.1074 0.1074 0.3299 1
U2 0.8926 0.8926 0.6701 1
V1 0.2055 0.2055 0.8657 1
V2 0.7945 0.7945 0.1343 1
Ga1 0.4107 0.4107 0.2275 1
Ga2 0.5893 0.5893 0.7725 1
```

10.
A geometry-optimized Na15TlHg4 structure, computed with PBE.

For the magnetization, the calculation gives 0.000 μB/atom. Its energy of formation is -0.1259 eV per atom. The calculation puts the energy at -1.29 eV per atom. Its space group is P4/mmm, No. 123.

```
data_Na15TlHg4
_chemical_formula_sum 'Na15 Tl1 Hg4'
_cell_length_a 5.1146
_cell_length_b 5.1146
_cell_length_c 22.3804
_cell_angle_alpha 90.00
_cell_angle_beta 90.00
_cell_angle_gamma 90.00
_space_group_name_H-M_alt 'P 1'
_space_group_IT_number 1
_space_group_name_Hall 'P 1'
loop_
_atom_site_label
_atom_site_fract_x
_atom_site_fract_y
_atom_site_fract_z
_atom_site_occupancy
Na1 0.0000 0.0000 0.0000 1
Na2 0.0000 0.0000 0.1999 1
Na3 0.0000 0.0000 0.4000 1
Na4 0.0000 0.0000 0.6000 1
Na5 0.0000 0.0000 0.8001 1
Na6 0.0000 0.5000 0.1008 1
Na7 0.0000 0.5000 0.2992 1
Na8 0.0000 0.5000 0.5000 1
Na9 0.0000 0.5000 0.7008 1
Na10 0.0000 0.5000 0.8992 1
Na11 0.5000 0.0000 0.1008 1
Na12 0.5000 0.0000 0.2992 1
Na13 0.5000 0.0000 0.5000 1
Na14 0.5000 0.0000 0.7008 1
Na15 0.5000 0.0000 0.8992 1
Tl1 0.5000 0.5000 0.0000 1
Hg1 0.5000 0.5000 0.1986 1
Hg2 0.5000 0.5000 0.4000 1
Hg3 0.5000 0.5000 0.6000 1
Hg4 0.5000 0.5000 0.8014 1
```